An optimized crystal structure of LiAs2Pb2, computed with PBE.

Computed properties:
Energy relative to the elements (eV per atom): -0.042
Space group: P4/mbm, No. 127
Total magnetization (μB/cell): 0.000
Offset from the most stable computed form (meV per atom): 0

Unit cell a=7.872 b=7.872 c=4.087 alpha=90.00 beta=90.00 gamma=90.00
Atoms (fractional coordinates):
Li1 0.000 0.000 0.000
Pb1 0.157 0.657 0.500
As1 0.850 0.650 0.000
As2 0.650 0.150 0.000
Pb2 0.843 0.343 0.500
Pb3 0.657 0.843 0.500
Li2 0.500 0.500 0.000
As3 0.350 0.850 0.000
Pb4 0.343 0.157 0.500
As4 0.150 0.350 0.000


An optimized crystal structure of AgMo3Pd, computed with PBE.

Computed properties:
Energy relative to the elements (eV per atom): 1.978
Space group: Pm-3m, No. 221
Total magnetization (μB/cell): 0.000
Offset from the most stable computed form (meV per atom): 0

Unit cell a=4.732 b=4.732 c=4.732 alpha=90.00 beta=90.00 gamma=90.00
Atoms (fractional coordinates):
Mo1 0.000 0.500 0.000
Mo2 0.000 0.000 0.500
Pd1 0.000 0.000 0.000
Mo3 0.500 0.000 0.000
Ag1 0.500 0.500 0.500


An optimized crystal structure of Rb2Li2SmBr6, computed with PBE.

Computed properties:
Space group: C2/m, No. 12
Uncorrected formation energy (eV per atom): -1.55
Total magnetization (μB/cell): 0.917

Unit cell a=7.623 b=7.548 c=9.008 alpha=112.30 beta=90.00 gamma=120.33
Last column: magnetic moment on the atom in μB.
Atoms (fractional coordinates):
Li1 0.948 0.896 0.667  0.01
Rb1 0.699 0.398 0.172  0.00
Br1 0.261 0.522 0.416  0.00
Li2 0.052 0.104 0.333  0.01
Br2 0.787 0.107 0.794  0.01
Br3 0.213 0.893 0.206  0.01
Br4 0.679 0.893 0.206  0.01
Sm1 0.500 0.000 0.500  0.30
Rb2 0.301 0.602 0.828  0.00
Br5 0.739 0.478 0.584  0.00
Br6 0.321 0.107 0.794  0.01


An optimized crystal structure of Th4MnGe8, computed with PBE.

Computed properties:
Energy relative to the elements (eV per atom): -0.573
Space group: Pmm2, No. 25
Total magnetization (μB/cell): 1.994

Unit cell a=4.127 b=4.211 c=16.771 alpha=90.00 beta=90.00 gamma=90.00
Last column: magnetic moment on the atom in μB.
Atoms (fractional coordinates):
Ge1 0.500 0.500 0.048  0.00
Mn1 0.000 0.000 0.314  2.02
Th1 0.500 0.000 0.893  -0.01
Th2 0.000 0.500 0.609  -0.02
Th3 0.500 0.500 0.393  -0.01
Ge2 0.500 0.500 0.751  0.00
Ge3 0.000 0.000 0.457  -0.02
Ge4 0.500 0.000 0.240  -0.02
Ge5 0.000 0.500 0.242  -0.02
Th4 0.000 0.000 0.105  -0.02
Ge6 0.000 0.000 0.751  0.00
Ge7 0.000 0.500 0.948  0.01
Ge8 0.500 0.000 0.553  -0.01


An optimized crystal structure of Eu2GaPt, computed with PBE.

Computed properties:
Energy relative to the elements (eV per atom): -0.673
Space group: P4/mmm, No. 123
Total magnetization (μB/cell): 13.890

Unit cell a=3.728 b=3.728 c=7.067 alpha=90.00 beta=90.00 gamma=90.00
Last column: magnetic moment on the atom in μB.
Atoms (fractional coordinates):
Eu1 0.000 0.000 0.238  6.78
Ga1 0.500 0.500 0.500  -0.02
Eu2 0.000 0.000 0.762  6.78
Pt1 0.500 0.500 0.000  -0.07


An optimized crystal structure of TlGeCl2, computed with PBE.

Computed properties:
Space group: Fm-3m, No. 225
Uncorrected formation energy (eV per atom): -0.27
Total magnetization (μB/cell): 0.000
Offset from the most stable computed form (meV per atom): 174

Unit cell a=5.207 b=5.207 c=5.207 alpha=60.00 beta=60.00 gamma=60.00
Atoms (fractional coordinates):
Cl1 0.750 0.750 0.750
Tl1 0.500 0.500 0.500
Ge1 0.000 0.000 0.000
Cl2 0.250 0.250 0.250


An optimized crystal structure of La2Nd5Tl, computed with PBE.

Computed properties:
Energy relative to the elements (eV per atom): 0.012
Space group: Immm, No. 71
Total magnetization (μB/cell): 0.000

Unit cell a=3.663 b=9.597 c=9.462 alpha=120.47 beta=101.16 gamma=90.00
Atoms (fractional coordinates):
La1 0.778 0.278 0.556
Tl1 0.000 0.000 0.000
Nd1 0.614 0.340 0.227
Nd2 0.386 0.113 0.773
La2 0.222 0.722 0.444
Nd3 0.614 0.887 0.227
Nd4 0.000 0.500 0.000
Nd5 0.386 0.660 0.773


An optimized crystal structure of P2SeOF, computed with PBE.

Computed properties:
Space group: P4/mmm, No. 123
Uncorrected formation energy (eV per atom): 0.62
Total magnetization (μB/cell): 0.212
Offset from the most stable computed form (meV per atom): 0

Unit cell a=4.900 b=4.900 c=3.697 alpha=90.00 beta=90.00 gamma=90.00
Atoms (fractional coordinates):
P1 0.000 0.500 0.000
F1 0.500 0.500 0.500
Se1 0.000 0.000 0.000
O1 0.000 0.000 0.500
P2 0.500 0.000 0.000


An optimized crystal structure of Nd11Dy4Ho9, computed with PBE.

Computed properties:
Energy relative to the elements (eV per atom): 0.056
Space group: Cmmm, No. 65
Total magnetization (μB/cell): 0.001

Unit cell a=3.665 b=15.407 c=15.407 alpha=113.10 beta=90.00 gamma=90.00
Atoms (fractional coordinates):
Ho1 0.500 0.369 0.835
Ho2 0.500 0.932 0.787
Ho3 0.500 0.213 0.068
Nd1 0.000 0.160 0.840
Ho4 0.500 0.068 0.213
Nd2 0.000 0.405 0.043
Ho5 0.500 0.787 0.932
Nd3 0.000 0.293 0.293
Nd4 0.000 0.957 0.595
Nd5 0.000 0.043 0.405
Nd6 0.000 0.707 0.707
Dy1 0.500 0.445 0.241
Nd7 0.000 0.595 0.957
Dy2 0.500 0.759 0.555
Ho6 0.500 0.500 0.500
Ho7 0.500 0.165 0.631
Nd8 0.000 0.840 0.160
Ho8 0.500 0.835 0.369
Nd9 0.000 0.632 0.368
Dy3 0.500 0.241 0.445
Nd10 0.000 0.000 0.000
Nd11 0.000 0.368 0.632
Ho9 0.500 0.631 0.165
Dy4 0.500 0.555 0.759


An optimized crystal structure of TmZnInS4, computed with PBE.

Computed properties:
Space group: Imma, No. 74
Uncorrected formation energy (eV per atom): -1.12
Total magnetization (μB/cell): 0.000

Unit cell a=7.671 b=7.669 c=7.669 alpha=59.69 beta=59.99 gamma=59.99
Atoms (fractional coordinates):
S1 0.757 0.247 0.747
Zn1 0.378 0.372 0.872
Zn2 0.622 0.628 0.128
S2 0.751 0.239 0.259
S3 0.752 0.753 0.253
Tm1 0.000 0.000 0.000
In1 0.000 0.000 0.500
Tm2 0.000 0.500 0.500
In2 0.500 0.000 0.500
S4 0.248 0.247 0.747
S5 0.243 0.753 0.253
S6 0.249 0.241 0.261
S7 0.249 0.761 0.741
S8 0.751 0.759 0.739


An optimized crystal structure of NaCaSi2, computed with PBE.

Computed properties:
Space group: Fm-3m, No. 225
Uncorrected formation energy (eV per atom): 0.11
Total magnetization (μB/cell): 0.000
Offset from the most stable computed form (meV per atom): 377

Unit cell a=4.983 b=4.983 c=4.983 alpha=60.00 beta=60.00 gamma=60.00
Atoms (fractional coordinates):
Na1 0.000 0.000 0.000
Si1 0.250 0.250 0.250
Si2 0.750 0.750 0.750
Ca1 0.500 0.500 0.500